ThZn2Sn PBE-GGA optimized geometry; DOS at the Fermi energy = 2.28 states/eV per cell; ΔH_f (0 K) = -0.290 eV/atom; E = -0.139 Ha/atom
1.0
4.4534 0.0000 0.0000
0.0000 4.5473 0.0000
0.0000 0.0000 4.5473
Sn Zn Th
1 2 1
Direct
0.5000 0.5000 0.5000
0.0000 0.0000 0.5000
0.0000 0.5000 0.0000
0.5000 0.0000 0.0000

---

Th2ZrSn PBE-GGA optimized geometry; DOS at the Fermi energy = 4.40 states/eV per cell; ΔH_f (0 K) = -0.289 eV/atom; distance to the lowest polymorph of the same formula = 0.000 eV per atom; E = -0.262 Ha/atom
1.0
-2.3588 4.2667 -0.5245
-1.0400 -1.1239 -4.4659
-4.0062 -2.0371 1.4456
Sn Th Zr
1 2 1
Direct
0.5000 0.5000 0.5000
0.0000 0.0000 0.5000
0.0000 0.5000 0.0000
0.5000 0.0000 0.0000